(1)
VASP calculation (GGA-PBE) on a relaxed structure of Tb2NdHoN4.

Cell and atoms, written as CIF:
```
data_Tb2NdHoN4
_chemical_formula_sum 'Tb2 Nd1 Ho1 N4'
_cell_length_a 6.108
_cell_length_b 3.527
_cell_length_c 6.109
_cell_angle_alpha 90.00
_cell_angle_beta 109.42
_cell_angle_gamma 90.00
_symmetry_space_group_name_H-M 'P 1 2/m 1'
_symmetry_Int_Tables_number 10
loop_
_symmetry_equiv_pos_as_xyz
'x,y,z'
'-x,-y,-z'
'-x,y,-z'
'x,-y,z'
loop_
_atom_site_label
_atom_site_type_symbol
_atom_site_fract_x
_atom_site_fract_y
_atom_site_fract_z
Tb1 Tb 0.000 0.000 0.000
Tb2 Tb 0.000 0.500 0.500
Nd1 Nd 0.500 0.000 0.500
Ho1 Ho 0.500 0.500 0.000
N1 N 0.244 0.500 0.243
N2 N 0.249 0.000 0.755
```

(2)
VASP calculation (GGA-PBE) on a relaxed structure of Nd2HoTe2N2.

Cell and atoms, written as CIF:
```
data_Nd2HoTe2N2
_chemical_formula_sum 'Nd4 Ho2 Te4 N4'
_cell_length_a 4.420
_cell_length_b 4.420
_cell_length_c 16.413
_cell_angle_alpha 90.00
_cell_angle_beta 90.00
_cell_angle_gamma 90.00
_symmetry_space_group_name_H-M 'I 4/m m m'
_symmetry_Int_Tables_number 139
_symmetry_space_group_name_Hall '-I 4 2'
loop_
_atom_site_label
_atom_site_type_symbol
_atom_site_fract_x
_atom_site_fract_y
_atom_site_fract_z
Nd1 Nd 0.000 0.000 0.103
Ho1 Ho 0.000 0.000 0.500
Te1 Te 0.000 0.000 0.314
N1 N 0.000 0.500 0.000
```

(3)
VASP calculation (GGA-PBE) on a relaxed structure of Nd2HoThN4.

Cell and atoms, written as CIF:
```
data_Nd2HoThN4
_chemical_formula_sum 'Nd2 Ho1 Th1 N4'
_cell_length_a 6.226
_cell_length_b 3.614
_cell_length_c 6.256
_cell_angle_alpha 90.00
_cell_angle_beta 109.28
_cell_angle_gamma 90.00
_symmetry_space_group_name_H-M 'P 1 2/m 1'
_symmetry_Int_Tables_number 10
loop_
_symmetry_equiv_pos_as_xyz
'x,y,z'
'-x,-y,-z'
'-x,y,-z'
'x,-y,z'
loop_
_atom_site_label
_atom_site_type_symbol
_atom_site_fract_x
_atom_site_fract_y
_atom_site_fract_z
Nd1 Nd 0.000 0.000 0.000
Nd2 Nd 0.500 0.500 0.000
Ho1 Ho 0.000 0.500 0.500
Th1 Th 0.500 0.000 0.500
N1 N 0.245 0.000 0.736
N2 N 0.253 0.500 0.264
```

It is found that the raw formation energy values, taken in the order of the records, are -1585.6, -1224.4, -1535.9 meV/atom.
It is found that the M_tot values, taken in the order of the records, are 0.0, 0.0, 0.0 μB per formula unit.